(1)
A geometry-optimized LiNiAs3 structure, computed with PBE.

The space group is Pm-3m (No. 221) and the conventional cell measures 4.6862, 4.6862 and 4.6862 Å, with angles of 90.00, 90.00 and 90.00 degrees. The distinct sites, in fractional coordinates, are Li at (0.0000, 0.0000, 0.0000), Ni at (0.5000, 0.5000, 0.5000) and As at (0.0000, 0.5000, 0.5000).

The value obtained for the calculated density is 4.686 g/cm³. The calculation puts the total magnetic moment at 0.00 Bohr magnetons per cell. For the energy above the most stable polymorph in this dataset, the calculation gives 0.000 eV/atom. For the raw total energy, the calculation gives -20.64 eV per cell. The formation energy comes out at 0.200 eV per atom.

***

(2)
A geometry-optimized CdAg8 structure, computed with PBE.

The space group is P-1 (No. 2) and the conventional cell measures 5.1170, 5.1389 and 7.1583 Å, with angles of 88.61, 88.45 and 60.24 degrees. The distinct sites, in fractional coordinates, are Cd at (0.0000, 0.0000, 0.0000), Ag at (0.0001, 0.3345, 0.6653), Ag at (0.3342, 0.0001, 0.3347), Ag at (0.3335, 0.3333, 0.0000) and Ag at (0.3343, 0.6657, 0.6653).

The value obtained for the calculated density is 9.916 g/cm³. The calculation puts the total magnetic moment at 0.00 Bohr magnetons per cell. For the energy above the most stable polymorph in this dataset, the calculation gives 0.000 eV/atom. For the raw total energy, the calculation gives -23.73 eV per cell. The formation energy comes out at -0.001 eV per atom.

***

(3)
A geometry-optimized K3Th3CoSe8 structure, computed with PBE.

The space group is C2/m (No. 12) and the conventional cell measures 14.5658, 8.4157 and 9.2357 Å, with angles of 90.00, 121.67 and 90.00 degrees. The distinct sites, in fractional coordinates, are K at (0.0000, 0.0000, 0.0000), K at (0.2500, 0.2500, 0.0000), Th at (0.0000, 0.5000, 0.5000), Th at (0.2500, 0.2500, 0.5000), Co at (0.0000, 0.0000, 0.5000), Se at (0.0156, 0.2415, 0.3052), Se at (0.2248, 0.0000, 0.6939) and Se at (0.2392, 0.5000, 0.7178).

The value obtained for the calculated density is 5.184 g/cm³. Its energy relative to the elements, uncorrected is -1.350 eV per atom. The calculation puts the total magnetic moment at 4.07 Bohr magnetons per cell. For the raw total energy, the calculation gives -161.55 eV per cell.

***

(4)
A geometry-optimized Pr4In2AgHg structure, computed with PBE.

The space group is R-3m (No. 166, hexagonal axes) and the conventional cell measures 5.4802, 5.4802 and 26.9148 Å, with angles of 90.00, 90.00 and 120.00 degrees. The distinct sites, in fractional coordinates, are Pr at (0.0000, 0.0000, 0.1239), Pr at (0.0000, 0.0000, 0.3739), In at (0.0000, 0.0000, 0.2498), Ag at (0.0000, 0.0000, 0.0000) and Hg at (0.0000, 0.0000, 0.5000).

The value obtained for the calculated density is 7.840 g/cm³. The calculation puts the total magnetic moment at 4.56 Bohr magnetons per cell. For the raw total energy, the calculation gives -93.19 eV per cell. The formation energy comes out at -0.414 eV per atom.

***

(5)
A geometry-optimized Ce2IrS structure, computed with PBE.

The space group is R3m (No. 160, hexagonal axes) and the conventional cell measures 3.9518, 3.9518 and 21.6950 Å, with angles of 90.00, 90.00 and 120.00 degrees. The distinct sites, in fractional coordinates, are Ce at (0.0000, 0.0000, 0.0000), Ce at (0.0000, 0.0000, 0.1791), Ir at (0.0000, 0.0000, 0.5911) and S at (0.0000, 0.0000, 0.4212).

The value obtained for the calculated density is 8.566 g/cm³. Its energy relative to the elements, uncorrected is -1.208 eV per atom. The calculation puts the total magnetic moment at 4.17 Bohr magnetons per cell. For the energy above the most stable polymorph in this dataset, the calculation gives 0.110 eV/atom. For the raw total energy, the calculation gives -89.06 eV per cell.

***

(6)
A geometry-optimized NbHIr structure, computed with PBE.

The space group is P2_1/m (No. 11) and the conventional cell measures 2.9258, 4.4579 and 5.5206 Å, with angles of 90.00, 105.30 and 90.00 degrees. The distinct sites, in fractional coordinates, are Nb at (0.1551, 0.2500, 0.3115), H at (0.2015, 0.7500, 0.4002) and Ir at (0.4285, 0.2500, 0.8555).

The value obtained for the calculated density is 13.682 g/cm³. The calculation puts the total magnetic moment at 0.00 Bohr magnetons per cell. For the energy above the most stable polymorph in this dataset, the calculation gives 0.000 eV/atom. For the raw total energy, the calculation gives -46.48 eV per cell.

***

(7)
A geometry-optimized BaSb12Ru4 structure, computed with PBE.

The space group is Im-3 (No. 204) and the conventional cell measures 9.4332, 9.4332 and 9.4332 Å, with angles of 90.00, 90.00 and 90.00 degrees. The distinct sites, in fractional coordinates, are Ba at (0.0000, 0.0000, 0.0000), Sb at (0.0000, 0.3440, 0.1604) and Ru at (0.2500, 0.2500, 0.2500).

The value obtained for the calculated density is 7.924 g/cm³. Its energy relative to the elements, uncorrected is -0.337 eV per atom. The calculation puts the total magnetic moment at 0.00 Bohr magnetons per cell. For the raw total energy, the calculation gives -188.45 eV per cell.